(1)
The following is a PBE calculation of BaSnPd3 after structural relaxation, from Alexandria via LeMat-Bulk.

The structure in POSCAR format:
```
BaSnPd3
1.0
5.369 0.000 0.000
0.000 5.369 0.000
0.000 0.000 5.369
Ba Sn Pd
1 1 3
direct
0.000 0.000 0.000
0.500 0.500 0.500
0.000 0.000 0.500
0.000 0.500 0.000
0.500 0.000 0.000
```

Properties
As for the density of states at the Fermi level: 2.564 states/eV per cell. The energy above the lowest structure with this stoichiometry comes out at 1462.6 meV per atom. The space-group type is No. 221. The value obtained for the formation energy is 4.4 eV per formula unit.

***

(2)
The following is a PBE calculation of Pr3I3N after structural relaxation, from Alexandria via LeMat-Bulk.

The structure in POSCAR format:
```
Pr3I3N
1.0
8.975 0.000 0.000
0.000 4.008 0.000
-0.481 0.000 12.234
Pr I N
6 6 2
direct
0.083 0.250 0.403
0.114 0.250 0.812
0.297 0.750 0.615
0.703 0.250 0.385
0.886 0.750 0.188
0.917 0.750 0.597
0.146 0.250 0.127
0.379 0.750 0.872
0.385 0.750 0.364
0.615 0.250 0.636
0.621 0.250 0.128
0.854 0.750 0.873
0.112 0.250 0.611
0.888 0.750 0.389
```

Properties
As for the density of states at the Fermi level: 4.149 states/eV per cell. Its uncorrected formation energy is -1.269 eV per atom. The space-group type is No. 11.

***

(3)
The following is a PBE calculation of Fe2CuP after structural relaxation, from Alexandria via LeMat-Bulk.

The structure in POSCAR format:
```
Fe2CuP
1.0
2.644 0.000 0.000
0.000 3.515 0.000
-1.051 0.000 4.910
Fe Cu P
2 1 1
direct
0.107 0.000 0.271
0.893 0.000 0.729
0.500 0.500 0.000
0.500 0.500 0.500
```

Properties
As for the density of states at the Fermi level: 4.100 states/eV per cell. The space-group type is No. 10. The value obtained for the formation energy is 0.0 eV per formula unit.

***

(4)
The following is a PBE calculation of CaNd2Ho3Se6 after structural relaxation, from Alexandria via LeMat-Bulk.

The structure in POSCAR format:
```
CaNd2Ho3Se6
1.0
9.042 -2.053 0.000
9.042 2.053 0.000
-1.986 0.000 8.104
Ca Nd Ho Se
1 2 3 6
direct
0.000 0.000 0.000
0.328 0.328 0.658
0.672 0.672 0.342
0.000 0.000 0.500
0.330 0.330 0.170
0.670 0.670 0.830
0.160 0.160 0.592
0.166 0.166 0.072
0.497 0.497 0.252
0.503 0.503 0.748
0.834 0.834 0.928
0.840 0.840 0.408
```

Properties
As for the density of states at the Fermi level: 5.079 states/eV per cell. Its uncorrected formation energy is -1.816 eV per atom. The space-group type is No. 12.

***

(5)
The following is a PBE calculation of CsMgInBr4 after structural relaxation, from Alexandria via LeMat-Bulk.

The structure in POSCAR format:
```
CsMgInBr4
1.0
7.733 0.000 0.000
0.000 7.834 0.000
-3.250 0.000 9.427
Cs Mg In Br
2 2 2 8
direct
0.224 0.250 0.437
0.776 0.750 0.563
0.274 0.750 0.186
0.726 0.250 0.814
0.281 0.250 0.964
0.719 0.750 0.036
0.071 0.750 0.932
0.084 0.750 0.348
0.485 0.003 0.240
0.485 0.497 0.240
0.515 0.503 0.760
0.515 0.997 0.760
0.916 0.250 0.652
0.929 0.250 0.068
```

Properties
As for the density of states at the Fermi level: 0.000 states/eV per cell. Its uncorrected formation energy is -1.343 eV per atom. The space-group type is No. 11.

***

(6)
The following is a PBE calculation of Tc2HIr after structural relaxation, from Alexandria via LeMat-Bulk.

The structure in POSCAR format:
```
Tc2HIr
1.0
1.399 0.808 6.682
-1.399 0.808 6.682
0.000 -1.615 6.682
Tc H Ir
2 1 1
direct
0.000 0.000 0.000
0.218 0.218 0.218
0.608 0.608 0.608
0.440 0.440 0.440
```

Properties
As for the density of states at the Fermi level: 2.676 states/eV per cell. The energy above the lowest structure with this stoichiometry comes out at 0.0 meV per atom. The space-group type is No. 160.

***

(7)
The following is a PBE calculation of Ti2VCl after structural relaxation, from Alexandria via LeMat-Bulk.

The structure in POSCAR format:
```
Ti2VCl
1.0
0.000 3.142 3.142
3.142 0.000 3.142
3.142 3.142 0.000
Ti V Cl
2 1 1
direct
0.250 0.250 0.250
0.750 0.750 0.750
0.000 0.000 0.000
0.500 0.500 0.500
```

Properties
As for the density of states at the Fermi level: 3.729 states/eV per cell. Its uncorrected formation energy is 0.447 eV per atom. The energy above the lowest structure with this stoichiometry comes out at 0.0 meV per atom. The space-group type is No. 225.

***

(8)
The following is a PBE calculation of AlBS after structural relaxation, from Alexandria via LeMat-Bulk.

The structure in POSCAR format:
```
AlBS
1.0
3.173 -1.619 0.000
3.173 1.619 0.000
-1.228 0.000 10.354
Al B S
2 2 2
direct
0.000 0.000 0.000
0.575 0.575 0.390
0.466 0.466 0.185
0.969 0.969 0.204
0.277 0.277 0.497
0.660 0.660 0.892
```

Properties
As for the density of states at the Fermi level: 2.143 states/eV per cell. Its uncorrected formation energy is -0.349 eV per atom. The energy above the lowest structure with this stoichiometry comes out at 29.2 meV per atom. The space-group type is No. 8.

***

(9)
The following is a PBE calculation of In12SnBi6 after structural relaxation, from Alexandria via LeMat-Bulk.

The structure in POSCAR format:
```
In12SnBi6
1.0
5.866 3.386 4.897
-5.866 3.386 4.897
0.000 -6.773 4.897
In Sn Bi
12 1 6
direct
0.008 0.294 0.979
0.021 0.992 0.706
0.080 0.338 0.413
0.294 0.979 0.008
0.338 0.413 0.080
0.413 0.080 0.338
0.587 0.920 0.662
0.662 0.587 0.920
0.706 0.021 0.992
0.920 0.662 0.587
0.979 0.008 0.294
0.992 0.706 0.021
0.500 0.500 0.500
0.213 0.689 0.331
0.311 0.669 0.787
0.331 0.213 0.689
0.669 0.787 0.311
0.689 0.331 0.213
0.787 0.311 0.669
```

Properties
As for the density of states at the Fermi level: 9.038 states/eV per cell. The space-group type is No. 148. The value obtained for the formation energy is 1.3 eV per formula unit.

***

(10)
The following is a PBE calculation of TaSbPI2 after structural relaxation, from Alexandria via LeMat-Bulk.

The structure in POSCAR format:
```
TaSbPI2
1.0
5.471 0.000 0.000
0.000 5.471 0.000
0.000 0.000 5.565
Ta Sb P I
1 1 1 2
direct
0.000 0.000 0.000
0.000 0.000 0.500
0.500 0.500 0.500
0.000 0.500 0.000
0.500 0.000 0.000
```

Properties
As for the density of states at the Fermi level: 2.609 states/eV per cell. Its uncorrected formation energy is 0.852 eV per atom. The energy above the lowest structure with this stoichiometry comes out at 0.0 meV per atom. The space-group type is No. 123.

***

(11)
The following is a PBE calculation of Pm2SiSe after structural relaxation, from Alexandria via LeMat-Bulk.

The structure in POSCAR format:
```
Pm2SiSe
1.0
2.084 1.203 7.294
-2.084 1.203 7.294
0.000 -2.406 7.294
Pm Si Se
2 1 1
direct
0.000 0.000 0.000
0.180 0.180 0.180
0.589 0.589 0.589
0.759 0.759 0.759
```

Properties
As for the density of states at the Fermi level: 2.403 states/eV per cell. Its uncorrected formation energy is -1.202 eV per atom. The energy above the lowest structure with this stoichiometry comes out at 117.0 meV per atom. The space-group type is No. 160.

***

(12)
The following is a PBE calculation of CsTl2H after structural relaxation, from Alexandria via LeMat-Bulk.

The structure in POSCAR format:
```
CsTl2H
1.0
0.000 4.130 4.130
4.130 0.000 4.130
4.130 4.130 0.000
Cs Tl H
1 2 1
direct
0.000 0.000 0.000
0.250 0.250 0.250
0.750 0.750 0.750
0.500 0.500 0.500
```

Properties
As for the density of states at the Fermi level: 4.159 states/eV per cell. The space-group type is No. 225. The value obtained for the total DFT energy (no corrections) is -1.6545 eV/atom.

***

(13)
The following is a PBE calculation of PmPrHo3 after structural relaxation, from Alexandria via LeMat-Bulk.

The structure in POSCAR format:
```
PmPrHo3
1.0
6.331 0.000 0.000
0.000 5.726 0.000
-3.158 0.000 9.124
Pm Pr Ho
2 2 6
direct
0.135 0.250 0.100
0.865 0.750 0.900
0.268 0.750 0.700
0.732 0.250 0.300
0.066 0.750 0.302
0.337 0.250 0.499
0.464 0.750 0.101
0.536 0.250 0.899
0.663 0.750 0.501
0.934 0.250 0.698
```

Properties
As for the density of states at the Fermi level: 16.019 states/eV per cell. The space-group type is No. 11. The value obtained for the formation energy is 0.1 eV per formula unit.

***

(14)
The following is a PBE calculation of LiFeAgPd after structural relaxation, from Alexandria via LeMat-Bulk.

The structure in POSCAR format:
```
LiFeAgPd
1.0
0.000 3.080 3.080
3.080 0.000 3.080
3.080 3.080 0.000
Li Fe Ag Pd
1 1 1 1
direct
0.000 0.000 0.000
0.500 0.500 0.500
0.750 0.750 0.750
0.250 0.250 0.250
```

Properties
As for the density of states at the Fermi level: 3.798 states/eV per cell. The space-group type is No. 216. The value obtained for the formation energy is 0.0 eV per formula unit.

***

(15)
The following is a PBE calculation of Sm2Pu3NpN6 after structural relaxation, from Alexandria via LeMat-Bulk.

The structure in POSCAR format:
```
Sm2Pu3NpN6
1.0
3.043 -5.264 0.000
3.043 5.264 0.000
-2.033 0.000 5.714
Sm Pu Np N
2 3 1 6
direct
0.166 0.834 0.000
0.834 0.166 0.000
0.000 0.000 0.500
0.332 0.668 0.500
0.668 0.332 0.500
0.500 0.500 0.000
0.101 0.415 0.746
0.270 0.270 0.257
0.415 0.101 0.746
0.585 0.899 0.254
0.730 0.730 0.743
0.899 0.585 0.254
```

Properties
As for the density of states at the Fermi level: 21.595 states/eV per cell. Its uncorrected formation energy is -1.316 eV per atom. The space-group type is No. 12.

***

(16)
The following is a PBE calculation of CaNb2Pd2 after structural relaxation, from Alexandria via LeMat-Bulk.

The structure in POSCAR format:
```
CaNb2Pd2
1.0
8.215 0.000 0.000
0.000 8.215 0.000
0.000 0.000 2.846
Ca Nb Pd
2 4 4
direct
0.000 0.000 0.000
0.500 0.500 0.000
0.115 0.385 0.000
0.385 0.885 0.000
0.615 0.115 0.000
0.885 0.615 0.000
0.177 0.677 0.500
0.323 0.177 0.500
0.677 0.823 0.500
0.823 0.323 0.500
```

Properties
As for the density of states at the Fermi level: 8.107 states/eV per cell. The energy above the lowest structure with this stoichiometry comes out at 0.0 meV per atom. The space-group type is No. 127. The value obtained for the formation energy is -0.6 eV per formula unit.

***

(17)
The following is a PBE calculation of ErTmTe after structural relaxation, from Alexandria via LeMat-Bulk.

The structure in POSCAR format:
```
ErTmTe
1.0
5.117 0.000 0.000
-2.558 4.431 0.000
0.000 0.000 3.897
Er Tm Te
1 1 1
direct
0.000 0.000 0.000
0.333 0.667 0.496
0.667 0.333 0.257
```

Properties
As for the density of states at the Fermi level: 2.458 states/eV per cell. Its uncorrected formation energy is -0.445 eV per atom. The energy above the lowest structure with this stoichiometry comes out at 356.8 meV per atom. The space-group type is No. 156.

***

(18)
The following is a PBE calculation of SrCaCo2 after structural relaxation, from Alexandria via LeMat-Bulk.

The structure in POSCAR format:
```
SrCaCo2
1.0
3.974 0.000 0.000
0.000 2.243 5.480
0.000 -2.243 5.480
Sr Ca Co
1 1 2
direct
0.000 0.000 0.000
0.500 0.280 0.280
0.000 0.698 0.698
0.500 0.608 0.608
```

Properties
As for the density of states at the Fermi level: 5.035 states/eV per cell. The energy above the lowest structure with this stoichiometry comes out at 0.0 meV per atom. The space-group type is No. 38. The value obtained for the formation energy is 0.8 eV per formula unit.

***

(19)
The following is a PBE calculation of YTaMo2 after structural relaxation, from Alexandria via LeMat-Bulk.

The structure in POSCAR format:
```
YTaMo2
1.0
0.000 3.343 3.343
3.343 0.000 3.343
3.343 3.343 0.000
Y Ta Mo
1 1 2
direct
0.000 0.000 0.000
0.500 0.500 0.500
0.250 0.250 0.250
0.750 0.750 0.750
```

Properties
As for the density of states at the Fermi level: 5.602 states/eV per cell. The energy above the lowest structure with this stoichiometry comes out at 109.8 meV per atom. The space-group type is No. 225. The value obtained for the formation energy is 1.2 eV per formula unit.

***

(20)
The following is a PBE calculation of PaGa2SeO8 after structural relaxation, from Alexandria via LeMat-Bulk.

The structure in POSCAR format:
```
PaGa2SeO8
1.0
5.303 -2.700 0.000
5.303 2.700 0.000
-1.528 0.000 5.151
Pa Ga Se O
1 2 1 8
direct
0.000 0.000 0.000
0.212 0.212 0.647
0.788 0.788 0.353
0.500 0.500 0.500
0.139 0.656 0.263
0.167 0.167 0.287
0.344 0.861 0.737
0.395 0.395 0.742
0.605 0.605 0.258
0.656 0.139 0.263
0.833 0.833 0.713
0.861 0.344 0.737
```

Properties
As for the density of states at the Fermi level: 2.223 states/eV per cell. Its uncorrected formation energy is -1.739 eV per atom. The space-group type is No. 12.